A relaxed MnHPdAu crystal. Source: Alexandria via LeMat-Bulk, functional PBE.

Structure (extended XYZ):
```
4
Lattice="2.912 0.000 0.000 -1.456 2.522 0.000 0.000 0.000 6.821" Properties=species:S:1:pos:R:3 pbc="T T T"
Mn 0.000 0.000 0.000
H 0.000 1.681 0.378
Pd 0.000 1.681 4.703
Au 1.456 0.841 2.362
```

Summary:
VASP energy	-5.225	eV/atom
space-group type	P3m1, No. 156

***

A relaxed MnHPdAu crystal. Source: Alexandria via LeMat-Bulk, functional PBE.

Structure (extended XYZ):
```
4
Lattice="2.870 0.000 0.000 -1.434 2.489 0.000 -0.008 -1.647 7.134" Properties=species:S:1:pos:R:3 pbc="T T T"
Mn 0.000 0.000 0.000
H 1.435 0.830 0.681
Pd -0.007 0.010 5.059
Au 1.427 0.847 2.662
```

Summary:
VASP energy	-5.242	eV/atom
space-group type	P1, No. 1